Entry 1:
{"formula": "LaNd3N4", "functional": "GGA-PBE", "state": "optimized geometry", "cell": [[5.200, 0.000, 0.000], [0.000, 5.200, 0.000], [0.000, 0.000, 5.200]], "species": ["La", "Nd", "Nd", "Nd", "N", "N", "N", "N"], "frac_coords": [[0.000, 0.000, 0.000], [0.000, 0.500, 0.500], [0.500, 0.000, 0.500], [0.500, 0.500, 0.000], [0.500, 0.000, 0.000], [0.000, 0.500, 0.000], [0.000, 0.000, 0.500], [0.500, 0.500, 0.500]], "crystal_system": "cubic", "vol_a3_per_atom": 17.6, "total_magnetization_mub_per_cell": 0.0, "total_energy_ev_per_atom": -7.909, "e_above_lowest_polymorph_mev_per_atom": 3}

***

Entry 2:
{"formula": "BaSbPb2", "functional": "GGA-PBE", "state": "optimized geometry", "cell": [[-0.460, 6.002, 0.867], [-4.239, 3.966, 1.814], [0.951, 0.901, 5.732]], "species": ["Ba", "Pb", "Pb", "Sb"], "frac_coords": [[0.250, 0.250, 0.250], [0.020, 0.020, 0.932], [0.480, 0.480, 0.568], [0.750, 0.750, 0.750]], "crystal_system": "monoclinic", "vol_a3_per_atom": 35.0, "total_magnetization_mub_per_cell": 0.0, "total_energy_ev_per_atom": -3.771}